VASP calculation (GGA-PBE) on a relaxed TbCe3Th2Te6 crystal.

Unit cell a=7.732 b=13.334 c=7.730 alpha=90.00 beta=109.36 gamma=90.00
Space group C2/m (No. 12)
Unique sites:
Tb 0.000 0.000 0.000
Ce 0.000 0.171 0.500
Ce 0.000 0.500 0.500
Th 0.000 0.335 0.000
Te 0.242 0.000 0.749
Te 0.245 0.163 0.246

Summary:
Volume: 31.3 Å³ per atom
ΔE_f (raw): -14.9 eV/f.u.